No. 1
Below is a relaxed structure of Ca3FeIr, with properties calculated at the PBE level.

Cell lengths 5.438, 5.438, 5.438 Å; angles 90.00, 90.00, 90.00 degrees
Sites, in units of the cell vectors:
Ca (0.000, 0.000, 0.500)
Ca (0.000, 0.500, 0.000)
Ca (0.500, 0.000, 0.000)
Fe (0.500, 0.500, 0.500)
Ir (0.000, 0.000, 0.000)

Summary:
Its space group is Pm-3m, No. 221. For the magnetic moment, the calculation gives 3.3 Bohr magnetons per cell. The value obtained for the total DFT energy (no corrections) is -4.28 eV per atom. The calculation puts the energy relative to the elements at 0.390 eV/atom. As for the density of states at the Fermi level: 4.6 states/eV/cell. The energy above the most stable polymorph in this dataset comes out at 0.00 eV per formula unit.

=====

No. 2
Below is a relaxed structure of PmZrPd2O8, with properties calculated at the PBE level.

Cell lengths 6.378, 6.378, 6.378 Å; angles 131.78, 131.78, 70.58 degrees
Sites, in units of the cell vectors:
Pm (0.000, 0.000, 0.000)
Zr (0.750, 0.250, 0.500)
Pd (0.250, 0.750, 0.500)
Pd (0.500, 0.500, 0.000)
O (0.135, 0.134, 0.531)
O (0.135, 0.605, 0.002)
O (0.395, 0.397, 0.531)
O (0.395, 0.865, 0.998)
O (0.603, 0.134, 0.998)
O (0.603, 0.605, 0.469)
O (0.866, 0.397, 0.002)
O (0.866, 0.865, 0.469)

Summary:
Its space group is I-4m2, No. 119. For the magnetic moment, the calculation gives 0.0 Bohr magnetons per cell. The value obtained for the total DFT energy (no corrections) is -6.67 eV per atom. The uncorrected formation energy is -1.387 eV/atom. As for the density of states at the Fermi level: 4.4 states/eV/cell.

=====

No. 3
Below is a relaxed structure of YNb2Zn2, with properties calculated at the PBE level.

Cell lengths 8.093, 8.093, 2.933 Å; angles 90.00, 90.00, 90.00 degrees
Sites, in units of the cell vectors:
Y (0.000, 0.000, 0.000)
Y (0.500, 0.500, 0.000)
Nb (0.114, 0.386, 0.000)
Nb (0.386, 0.886, 0.000)
Nb (0.614, 0.114, 0.000)
Nb (0.886, 0.614, 0.000)
Zn (0.180, 0.680, 0.500)
Zn (0.320, 0.180, 0.500)
Zn (0.680, 0.820, 0.500)
Zn (0.820, 0.320, 0.500)

Summary:
Its space group is P4/mbm, No. 127. For the magnetic moment, the calculation gives 0.1 Bohr magnetons per cell. The value obtained for the total DFT energy (no corrections) is -5.74 eV per atom. The calculation puts the energy relative to the elements at 0.087 eV/atom. As for the density of states at the Fermi level: 8.5 states/eV/cell. The energy above the most stable polymorph in this dataset comes out at 0.00 eV per formula unit.

=====

No. 4
Below is a relaxed structure of ErHgS2, with properties calculated at the PBE level.

Cell lengths 8.316, 8.316, 8.316 Å; angles 27.98, 27.98, 27.98 degrees
Sites, in units of the cell vectors:
Er (0.000, 0.000, 0.000)
Hg (0.500, 0.500, 0.500)
S (0.106, 0.106, 0.106)
S (0.894, 0.894, 0.894)

Summary:
Its space group is R-3m, No. 166. For the magnetic moment, the calculation gives 0.0 Bohr magnetons per cell. The value obtained for the total DFT energy (no corrections) is -3.51 eV per atom. The uncorrected formation energy is -0.234 eV/atom. As for the density of states at the Fermi level: 3.4 states/eV/cell. The energy above the most stable polymorph in this dataset comes out at 3.53 eV per formula unit.

=====

No. 5
Below is a relaxed structure of Cu2HgTe2, with properties calculated at the PBE level.

Cell lengths 8.658, 8.658, 8.658 Å; angles 154.15, 154.15, 36.87 degrees
Sites, in units of the cell vectors:
Cu (0.250, 0.750, 0.500)
Cu (0.750, 0.250, 0.500)
Hg (0.000, 0.000, 0.000)
Te (0.358, 0.358, 0.000)
Te (0.642, 0.642, 0.000)

Summary:
Its space group is I4/mmm, No. 139. For the magnetic moment, the calculation gives 0.0 Bohr magnetons per cell. The value obtained for the total DFT energy (no corrections) is -2.99 eV per atom. The uncorrected formation energy is -0.038 eV/atom. As for the density of states at the Fermi level: 2.5 states/eV/cell. The energy above the most stable polymorph in this dataset comes out at 0.00 eV per formula unit.

=====

No. 6
Below is a relaxed structure of CaTc2Te, with properties calculated at the PBE level.

Cell lengths 3.496, 4.683, 5.278 Å; angles 90.00, 92.42, 90.00 degrees
Sites, in units of the cell vectors:
Ca (0.000, 0.000, 0.000)
Tc (0.471, 0.500, 0.787)
Tc (0.529, 0.500, 0.213)
Te (0.500, 0.000, 0.500)

Summary:
Its space group is P2/m, No. 10. For the magnetic moment, the calculation gives 0.0 Bohr magnetons per cell. The value obtained for the total DFT energy (no corrections) is -6.11 eV per atom. The uncorrected formation energy is 0.356 eV/atom. As for the density of states at the Fermi level: 3.7 states/eV/cell.

=====

No. 7
Below is a relaxed structure of LiTbHoV, with properties calculated at the PBE level.

Cell lengths 5.107, 5.107, 5.107 Å; angles 60.00, 60.00, 60.00 degrees
Sites, in units of the cell vectors:
Li (0.000, 0.000, 0.000)
Tb (0.250, 0.250, 0.250)
Ho (0.750, 0.750, 0.750)
V (0.500, 0.500, 0.500)

Summary:
Its space group is F-43m, No. 216. For the magnetic moment, the calculation gives 3.1 Bohr magnetons per cell. The value obtained for the total DFT energy (no corrections) is -4.83 eV per atom. The calculation puts the energy relative to the elements at 0.235 eV/atom. As for the density of states at the Fermi level: 3.9 states/eV/cell.

=====

No. 8
Below is a relaxed structure of Ac2Zn3Ge4Ir, with properties calculated at the PBE level.

Cell lengths 4.492, 4.492, 10.332 Å; angles 90.00, 90.00, 90.00 degrees
Sites, in units of the cell vectors:
Ac (0.000, 0.500, 0.245)
Ac (0.500, 0.000, 0.755)
Zn (0.000, 0.000, 0.000)
Zn (0.000, 0.500, 0.630)
Zn (0.500, 0.000, 0.370)
Ge (0.000, 0.000, 0.500)
Ge (0.000, 0.500, 0.878)
Ge (0.500, 0.000, 0.122)
Ge (0.500, 0.500, 0.500)
Ir (0.500, 0.500, 0.000)

Summary:
Its space group is P-4m2, No. 115. For the magnetic moment, the calculation gives 0.0 Bohr magnetons per cell. The value obtained for the total DFT energy (no corrections) is -4.41 eV per atom. The calculation puts the energy relative to the elements at -0.474 eV/atom. As for the density of states at the Fermi level: 5.1 states/eV/cell.

=====

No. 9
Below is a relaxed structure of ZnH2Ir, with properties calculated at the PBE level.

Cell lengths 5.519, 5.519, 5.519 Å; angles 137.76, 137.76, 61.27 degrees
Sites, in units of the cell vectors:
Zn (0.000, 0.000, 0.000)
Zn (0.750, 0.250, 0.500)
H (0.175, 0.625, 0.050)
H (0.375, 0.425, 0.550)
H (0.575, 0.125, 0.950)
H (0.875, 0.825, 0.450)
Ir (0.250, 0.750, 0.500)
Ir (0.500, 0.500, 0.000)

Summary:
Its space group is I-42d, No. 122. For the magnetic moment, the calculation gives 0.0 Bohr magnetons per cell. The value obtained for the total DFT energy (no corrections) is -4.03 eV per atom. As for the density of states at the Fermi level: 1.2 states/eV/cell. The energy above the most stable polymorph in this dataset comes out at 0.00 eV per formula unit.

=====

No. 10
Below is a relaxed structure of RbTbHgF6, with properties calculated at the PBE level.

Cell lengths 6.240, 6.240, 11.248 Å; angles 90.00, 90.00, 120.00 degrees
Sites, in units of the cell vectors:
Rb (0.000, 0.000, 0.000)
Rb (0.000, 0.000, 0.500)
Tb (0.333, 0.667, 0.250)
Tb (0.667, 0.333, 0.750)
Hg (0.333, 0.667, 0.750)
Hg (0.667, 0.333, 0.250)
F (0.016, 0.385, 0.145)
F (0.016, 0.631, 0.355)
F (0.369, 0.385, 0.355)
F (0.369, 0.984, 0.145)
F (0.385, 0.016, 0.645)
F (0.385, 0.369, 0.855)
F (0.615, 0.631, 0.145)
F (0.615, 0.984, 0.355)
F (0.631, 0.016, 0.855)
F (0.631, 0.615, 0.645)
F (0.984, 0.369, 0.645)
F (0.984, 0.615, 0.855)

Summary:
Its space group is P-31c, No. 163. For the magnetic moment, the calculation gives 0.0 Bohr magnetons per cell. The value obtained for the total DFT energy (no corrections) is -4.82 eV per atom. The uncorrected formation energy is -2.913 eV/atom. As for the density of states at the Fermi level: 0.0 states/eV/cell.